Material: SmPb2IO4
Method: DFT, PBE
State: optimized geometry

Properties
- V (Å³ per cell) = 157.2
- E (eV per atom) = -5.79

Cell lengths 4.049, 4.049, 9.592 Å; angles 90.00, 90.00, 90.00 degrees
Space group P4/mmm (No. 123)
Symmetry-distinct sites (fractional):
Sm 0.000 0.000 0.000
Pb 0.500 0.500 0.256
I 0.000 0.000 0.500
O 0.000 0.500 0.143

***

Material: SnPb2I2O2
Method: DFT, PBE
State: optimized geometry

Properties
- V (Å³ per cell) = 408.5
- E (eV per atom) = -4.38

Cell lengths 13.356, 4.081, 8.794 Å; angles 90.00, 121.52, 90.00 degrees
Space group C2/m (No. 12)
Symmetry-distinct sites (fractional):
Sn 0.000 0.000 0.000
Pb 0.197 0.000 0.800
I 0.070 0.500 0.329
O 0.196 0.000 0.061

***

Material: SnPbI2O
Method: DFT, PBE
State: optimized geometry

Properties
- energy above the most stable polymorph in this dataset (kJ/mol of atoms) = 20.55
- V (Å³ per cell) = 173.2
- E (eV per atom) = -3.32

Cell lengths 6.400, 6.400, 4.227 Å; angles 90.00, 90.00, 90.00 degrees
Space group P4/mmm (No. 123)
Symmetry-distinct sites (fractional):
Sn 0.000 0.000 0.000
Pb 0.500 0.500 0.500
I 0.000 0.500 0.500
O 0.500 0.500 0.000

***

Material: SnPbI2O
Method: DFT, PBE
State: optimized geometry

Properties
- energy above the most stable polymorph in this dataset (kJ/mol of atoms) = 0.00
- V (Å³ per cell) = 162.0
- E (eV per atom) = -3.53

Cell lengths 6.309, 6.309, 4.072 Å; angles 90.00, 90.00, 90.00 degrees
Space group P4/mmm (No. 123)
Symmetry-distinct sites (fractional):
Sn 0.000 0.000 0.000
Pb 0.500 0.500 0.500
I 0.000 0.500 0.000
O 0.000 0.000 0.500

***

Material: SrPbI2O
Method: DFT, PBE
State: optimized geometry

Properties
- energy above the most stable polymorph in this dataset (kJ/mol of atoms) = 0.00
- V (Å³ per cell) = 182.7
- E (eV per atom) = -3.51

Cell lengths 6.439, 6.439, 4.406 Å; angles 90.00, 90.00, 90.00 degrees
Space group P4/mmm (No. 123)
Symmetry-distinct sites (fractional):
Sr 0.000 0.000 0.000
Pb 0.500 0.500 0.500
I 0.000 0.500 0.500
O 0.500 0.500 0.000

***

Material: Sr2PbIO8
Method: DFT, PBE
State: optimized geometry

Properties
- V (Å³ per cell) = 396.2
- E (eV per atom) = -5.28

Cell lengths 7.242, 7.688, 7.117 Å; angles 90.00, 90.00, 90.00 degrees
Space group Cmmm (No. 65)
Symmetry-distinct sites (fractional):
Sr 0.000 0.000 0.244
Pb 0.000 0.500 0.500
I 0.000 0.500 0.000
O 0.000 0.329 0.197
O 0.225 0.000 0.500
O 0.242 0.000 0.000